Here is a relaxed structure of RbSrSb2 from Alexandria. Energies are from PBE.

Output
- N(E_F) (states/eV per cell) = 1.590
- SG = P4/mmm (123)
- E above lowest polymorph (eV per atom) = 0.000
- volume (Å³ per atom) = 38.86
- formation energy without anion corrections (eV per atom) = -0.6568
- DFT total energy (eV/cell) = -13.52

```
RbSrSb2
1.0
4.464 0.000 0.000
0.000 4.464 0.000
0.000 0.000 7.803
Sb Rb Sr
2 1 1
Cartesian
0.000 0.000 6.380 Sb
0.000 0.000 1.423 Sb
2.232 2.232 3.901 Rb
2.232 2.232 0.000 Sr
```

=====

Here is a relaxed structure of Zn2Ni2Sb from Alexandria. Energies are from PBE.

Output
- N(E_F) (states/eV per cell) = 5.270
- SG = P4/mbm (127)
- E above lowest polymorph (eV per atom) = 0.000
- volume (Å³ per atom) = 14.88
- formation energy without anion corrections (eV per atom) = -0.0662
- DFT total energy (eV/cell) = -37.13

```
Zn2Ni2Sb
1.0
-2.059 3.335 5.527
3.981 -3.911 3.843
2.431 2.113 -0.369
Sb Zn Ni
2 4 4
Cartesian
0.000 0.000 0.000 Sb
0.961 -0.288 4.685 Sb
3.483 -0.982 3.087 Zn
3.298 -0.143 6.664 Zn
0.871 2.519 5.914 Zn
1.057 1.680 2.336 Zn
2.670 -2.159 5.233 Ni
0.817 0.318 7.202 Ni
-0.747 1.583 4.137 Ni
1.105 -0.893 2.168 Ni
```

=====

Here is a relaxed structure of Ac8Sn3N2 from Alexandria. Energies are from PBE.

Output
- N(E_F) (states/eV per cell) = 9.546
- SG = R-3m (166)
- volume (Å³ per atom) = 36.37
- formation energy without anion corrections (eV per atom) = -0.6103
- DFT total energy (eV/cell) = -69.46

```
Ac8Sn3N2
1.0
-0.887 -1.374 7.327
-5.796 -4.143 2.368
3.151 -9.849 2.381
Ac Sn N
8 3 2
Cartesian
-1.551 -13.159 8.884 Ac
-1.981 -2.207 3.193 Ac
-3.455 -6.404 4.142 Ac
-0.990 -5.013 6.633 Ac
-3.900 -7.093 7.822 Ac
-2.542 -10.353 5.444 Ac
-0.076 -8.962 7.934 Ac
0.369 -8.273 4.254 Ac
0.000 0.000 0.000 Sn
-3.424 -10.370 9.180 Sn
-0.107 -4.996 2.896 Sn
-3.371 -5.291 6.292 N
-0.160 -10.075 5.784 N
```